1.
# Ho2TmMg3Ga3, optimized geometry, DFT PBE-GGA
data_Ho2TmMg3Ga3
_chemical_formula_sum 'Ho2 Tm1 Mg3 Ga3'
_cell_length_a 4.413
_cell_length_b 7.228
_cell_length_c 7.228
_cell_angle_alpha 119.82
_cell_angle_beta 90.00
_cell_angle_gamma 90.00
_space_group_name_H-M_alt 'P 1'
_space_group_IT_number 1
loop_
_space_group_symop_operation_xyz
'x,y,z'
loop_
_atom_site_label
_atom_site_type_symbol
_atom_site_fract_x
_atom_site_fract_y
_atom_site_fract_z
Ga1 Ga 0.500 0.666 0.334
Ga2 Ga 0.500 0.334 0.666
Ga3 Ga 0.000 0.998 0.998
Ho1 Ho 0.000 0.428 0.000
Ho2 Ho 0.000 0.000 0.428
Mg1 Mg 0.500 0.756 0.000
Mg2 Mg 0.500 0.244 0.244
Mg3 Mg 0.500 0.000 0.756
Tm1 Tm 0.000 0.573 0.573
# Space-group type: Amm2 (38)
# V in Å³/atom: 22.229
# Total moment in μB/cell: 0.0
# VASP energy in eV per formula unit: -31.74

=====

2.
# HoTm2Mg3Ga3, optimized geometry, DFT PBE-GGA
data_HoTm2Mg3Ga3
_chemical_formula_sum 'Ho1 Tm2 Mg3 Ga3'
_cell_length_a 4.404
_cell_length_b 7.222
_cell_length_c 7.222
_cell_angle_alpha 120.17
_cell_angle_beta 90.00
_cell_angle_gamma 90.00
_space_group_name_H-M_alt 'P 1'
_space_group_IT_number 1
loop_
_space_group_symop_operation_xyz
'x,y,z'
loop_
_atom_site_label
_atom_site_type_symbol
_atom_site_fract_x
_atom_site_fract_y
_atom_site_fract_z
Ga1 Ga 0.000 0.002 0.002
Ga2 Ga 0.500 0.667 0.332
Ga3 Ga 0.500 0.332 0.667
Ho1 Ho 0.000 0.571 0.571
Mg1 Mg 0.500 0.757 0.000
Mg2 Mg 0.500 0.243 0.243
Mg3 Mg 0.500 0.000 0.757
Tm1 Tm 0.000 0.000 0.428
Tm2 Tm 0.000 0.428 0.000
# Space-group type: Amm2 (38)
# V in Å³/atom: 22.061
# Total moment in μB/cell: 0.0
# VASP energy in eV per formula unit: -31.59

=====

3.
# Ho3Mg3ZnGa2, optimized geometry, DFT PBE-GGA
data_Ho3Mg3ZnGa2
_chemical_formula_sum 'Ho3 Mg3 Zn1 Ga2'
_cell_length_a 7.275
_cell_length_b 7.275
_cell_length_c 4.370
_cell_angle_alpha 90.00
_cell_angle_beta 90.00
_cell_angle_gamma 120.00
_space_group_name_H-M_alt 'P 1'
_space_group_IT_number 1
loop_
_space_group_symop_operation_xyz
'x,y,z'
loop_
_atom_site_label
_atom_site_type_symbol
_atom_site_fract_x
_atom_site_fract_y
_atom_site_fract_z
Ga1 Ga 0.667 0.333 0.500
Ga2 Ga 0.333 0.667 0.500
Ho1 Ho 0.424 0.000 0.000
Ho2 Ho 0.000 0.424 0.000
Ho3 Ho 0.576 0.576 0.000
Mg1 Mg 0.757 0.000 0.500
Mg2 Mg 0.243 0.243 0.500
Mg3 Mg 0.000 0.757 0.500
Zn1 Zn 0.000 0.000 0.000
# Space-group type: P-62m (189)
# V in Å³/atom: 22.258
# Total moment in μB/cell: 0.0
# VASP energy in eV per formula unit: -29.68